1) ## Tb2Er7Tm3 (PBE)

Data for a relaxed Tb2Er7Tm3 crystal.

Properties
Total magnetic moment = 0.00 μB/f.u.
Symmetry = P2/m

Unit cell a=5.4120 b=6.1076 c=11.8961 alpha=91.42 beta=90.00 gamma=90.00
Last column: nearest neighbours and their distance in Å.
Atoms (fractional coordinates):
1 Tb 0.5000 0.6019 0.2788  6 Er 3.11-3.39, 1 Tm 3.36
2 Tb 0.5000 0.3981 0.7212  6 Er 3.11-3.39, 1 Tm 3.36
3 Er 0.5000 0.2346 0.4546  2 Er 3.09-3.39, 2 Tb 3.11-3.30
4 Er 0.5000 0.7654 0.5454  2 Er 3.09-3.39, 2 Tb 3.11-3.30
5 Er 0.0000 0.4372 0.1775  2 Tb 3.12, 3 Er 3.36-3.45, 2 Tm 3.46
6 Er 0.0000 0.0000 0.0000  6 Er 3.36-3.39
7 Er 0.0000 0.5628 0.8225  2 Tb 3.12, 3 Er 3.36-3.45, 2 Tm 3.46
8 Er 0.5000 0.9144 0.8323  3 Tm 3.26-3.51, 2 Tb 3.27-3.39, 5 Er 3.39-3.51
9 Er 0.5000 0.0856 0.1677  3 Tm 3.26-3.51, 2 Tb 3.27-3.39, 5 Er 3.39-3.51
10 Tm 0.5000 0.5000 0.0000  6 Er 3.26-3.46, 2 Tb 3.36
11 Tm 0.0000 0.9483 0.3402  8 Er 3.48-3.83, 2 Tb 3.50, 1 Tm 3.84
12 Tm 0.0000 0.0517 0.6598  8 Er 3.48-3.83, 2 Tb 3.50, 1 Tm 3.84

2) ## Tb2Er7Tm3 (PBE)

Data for a relaxed Tb2Er7Tm3 crystal.

Properties
Total magnetic moment = 0.06 μB/f.u.
Symmetry = Cmmm

Unit cell a=3.5457 b=5.7233 c=18.7049 alpha=98.80 beta=90.00 gamma=90.00
Last column: nearest neighbours and their distance in Å.
Atoms (fractional coordinates):
1 Tb 0.0000 0.8243 0.6486  5 Er 3.48-3.63, 4 Tm 3.50, 2 Tb 3.55
2 Tb 0.0000 0.1757 0.3514  5 Er 3.48-3.63, 4 Tm 3.50, 2 Tb 3.55
3 Er 0.0000 0.4279 0.8557  4 Tm 3.20-3.37, 6 Er 3.43-3.55
4 Er 0.0000 0.7292 0.4584  4 Er 3.25-3.55, 2 Tm 3.44, 3 Tb 3.48-3.52
5 Er 0.0000 0.0000 0.0000  4 Tm 3.37, 2 Er 3.55
6 Er 0.0000 0.5721 0.1443  4 Tm 3.20-3.37, 6 Er 3.43-3.55
7 Er 0.5000 0.0901 0.1801  8 Er 3.43-3.77, 2 Tm 3.61, 2 Tb 3.63
8 Er 0.5000 0.9099 0.8199  8 Er 3.43-3.77, 2 Tm 3.61, 2 Tb 3.63
9 Er 0.0000 0.2708 0.5416  4 Er 3.25-3.55, 2 Tm 3.44, 3 Tb 3.48-3.52
10 Tm 0.5000 0.5000 0.0000  8 Er 3.20-3.37, 2 Tm 3.55
11 Tm 0.5000 0.6496 0.2992  6 Er 3.37-3.61, 4 Tb 3.50, 2 Tm 3.55
12 Tm 0.5000 0.3504 0.7008  6 Er 3.37-3.61, 4 Tb 3.50, 2 Tm 3.55

Which of them is most stable? Easy: 2).

1) ## Tb8Er2Tm (PBE)

Data for a relaxed Tb8Er2Tm crystal.

Properties
Total magnetic moment = 0.00 μB/f.u.
Symmetry = C2/m

Unit cell a=6.5990 b=10.1090 c=10.1090 alpha=38.20 beta=59.63 gamma=59.63
Last column: nearest neighbours and their distance in Å.
Atoms (fractional coordinates):
1 Tb 0.2276 0.3499 0.8254  5 Tb 3.15-3.47, 1 Tm 3.28, 1 Er 3.40
2 Tb 0.7724 0.1746 0.6501  5 Tb 3.15-3.47, 1 Tm 3.28, 1 Er 3.40
3 Tb 0.1741 0.7559 0.7559  5 Tb 3.24-3.42, 4 Er 3.33-3.56
4 Tb 0.8259 0.2441 0.2441  5 Tb 3.24-3.42, 4 Er 3.33-3.56
5 Tb 0.2276 0.8254 0.3499  5 Tb 3.15-3.47, 1 Tm 3.28, 1 Er 3.40
6 Tb 0.7724 0.6501 0.1746  5 Tb 3.15-3.47, 1 Tm 3.28, 1 Er 3.40
7 Tb 0.7267 0.5908 0.5908  8 Tb 3.31-3.68, 1 Er 3.62
8 Tb 0.2733 0.4092 0.4092  8 Tb 3.31-3.68, 1 Er 3.62
9 Er 0.5970 0.8005 0.8005  7 Tb 3.33-3.62
10 Er 0.4030 0.1995 0.1995  7 Tb 3.33-3.62
11 Tm 0.0000 0.0000 0.0000  4 Tb 3.28

2) ## Tb8Er2Tm (PBE)

Data for a relaxed Tb8Er2Tm crystal.

Properties
Total magnetic moment = 0.00 μB/f.u.
Symmetry = P-1

Unit cell a=11.1965 b=15.4133 c=15.4271 alpha=22.88 beta=160.60 gamma=150.57
Last column: nearest neighbours and their distance in Å.
Atoms (fractional coordinates):
1 Tb 0.5452 0.9094 0.2724  8 Tb 3.53-3.54, 3 Er 3.53-3.55, 1 Tm 3.54
2 Tb 0.1826 0.6359 0.0918  9 Tb 3.53-3.54, 3 Er 3.54
3 Tb 0.6364 0.7279 0.8177  7 Tb 3.52-3.54, 3 Er 3.53, 2 Tm 3.53-3.54
4 Tb 0.3636 0.2721 0.1823  7 Tb 3.52-3.54, 3 Er 3.53, 2 Tm 3.53-3.54
5 Tb 0.8174 0.3641 0.9082  9 Tb 3.53-3.54, 3 Er 3.54
6 Tb 0.4548 0.0906 0.7276  8 Tb 3.53-3.54, 3 Er 3.53-3.55, 1 Tm 3.54
7 Tb 0.2718 0.4540 0.6362  8 Tb 3.53-3.54, 2 Er 3.53, 2 Tm 3.53
8 Tb 0.7282 0.5460 0.3638  8 Tb 3.53-3.54, 2 Er 3.53, 2 Tm 3.53
9 Er 0.0930 0.8178 0.5471  1 Tm 3.53, 11 Tb 3.53-3.55
10 Er 0.9070 0.1822 0.4529  1 Tm 3.53, 11 Tb 3.53-3.55
11 Tm 0.0000 0.0000 0.0000  2 Er 3.53, 10 Tb 3.53-3.54

Which of them is most stable? Easy: 2).

1) ## TbEr4Tm6 (PBE)

Data for a relaxed TbEr4Tm6 crystal.

Properties
Total magnetic moment = 0.00 μB/f.u.
Symmetry = I-42m

Unit cell a=7.5009 b=7.5009 c=8.3728 alpha=116.61 beta=116.61 gamma=90.00
Last column: nearest neighbours and their distance in Å.
Atoms (fractional coordinates):
1 Tb 0.5000 0.5000 0.0000  8 Tm 3.51-3.75, 4 Er 3.69
2 Er 0.0876 0.7569 0.8445  3 Tm 2.98-3.19, 2 Er 3.20
3 Er 0.9124 0.9124 0.1555  3 Tm 2.98-3.19, 2 Er 3.20
4 Er 0.7569 0.0876 0.8445  3 Tm 2.98-3.19, 2 Er 3.20
5 Er 0.2431 0.2431 0.1555  3 Tm 2.98-3.19, 2 Er 3.20
6 Tm 0.9267 0.4414 0.3681  4 Er 3.19-3.53, 1 Tb 3.51, 2 Tm 3.57
7 Tm 0.4414 0.9267 0.3681  4 Er 3.19-3.53, 1 Tb 3.51, 2 Tm 3.57
8 Tm 0.5586 0.5586 0.6319  4 Er 3.19-3.53, 1 Tb 3.51, 2 Tm 3.57
9 Tm 0.0000 0.5000 0.0000  4 Er 2.98
10 Tm 0.0733 0.0733 0.6319  4 Er 3.19-3.53, 1 Tb 3.51, 2 Tm 3.57
11 Tm 0.5000 0.0000 0.0000  4 Er 2.98

2) ## TbEr4Tm6 (PBE)

Data for a relaxed TbEr4Tm6 crystal.

Properties
Total magnetic moment = 0.00 μB/f.u.
Symmetry = Cmcm

Unit cell a=5.5423 b=5.5289 c=25.3117 alpha=90.00 beta=90.00 gamma=120.08
Last column: nearest neighbours and their distance in Å.
Atoms (fractional coordinates):
1 Tb 0.8303 0.6606 0.2500  3 Tm 3.19-3.20
2 Tb 0.1697 0.3394 0.7500  3 Tm 3.19-3.20
3 Er 0.8343 0.6686 0.5416  8 Tm 3.36-3.66, 1 Er 3.76
4 Er 0.4968 0.9936 0.1215  5 Tm 3.07-3.25
5 Er 0.1657 0.3314 0.4584  8 Tm 3.36-3.66, 1 Er 3.76
6 Er 0.5032 0.0064 0.8785  5 Tm 3.07-3.25
7 Er 0.8343 0.6686 0.9584  8 Tm 3.36-3.66, 1 Er 3.76
8 Er 0.1657 0.3314 0.0416  8 Tm 3.36-3.66, 1 Er 3.76
9 Er 0.5032 0.0064 0.6215  5 Tm 3.07-3.25
10 Er 0.4968 0.9936 0.3785  5 Tm 3.07-3.25
11 Tm 0.5000 0.0000 0.0000  8 Er 3.07-3.37
12 Tm 0.5000 0.0000 0.5000  8 Er 3.07-3.37
13 Tm 0.1636 0.3272 0.3186  7 Tm 3.47-3.77, 4 Er 3.53-3.54, 3 Tb 3.63-3.64
14 Tm 0.8364 0.6728 0.6814  7 Tm 3.47-3.77, 4 Er 3.53-3.54, 3 Tb 3.63-3.64
15 Tm 0.8364 0.6728 0.8186  7 Tm 3.47-3.77, 4 Er 3.53-3.54, 3 Tb 3.63-3.64
16 Tm 0.1636 0.3272 0.1814  7 Tm 3.47-3.77, 4 Er 3.53-3.54, 3 Tb 3.63-3.64
17 Tm 0.8306 0.6613 0.3971  6 Er 3.23-3.56
18 Tm 0.1694 0.3387 0.6029  6 Er 3.23-3.56
19 Tm 0.1694 0.3387 0.8971  6 Er 3.23-3.56
20 Tm 0.8306 0.6613 0.1029  6 Er 3.23-3.56
21 Tm 0.4968 0.9936 0.2500  3 Tb 3.19-3.20, 2 Er 3.25
22 Tm 0.5032 0.0064 0.7500  3 Tb 3.19-3.20, 2 Er 3.25

Which of them is most stable? Easy: 2).

1) ## TbEr3Tm5 (PBE)

Data for a relaxed TbEr3Tm5 crystal.

Properties
Total magnetic moment = 0.00 μB/f.u.
Symmetry = C2/m

Unit cell a=9.0097 b=9.0097 c=11.5922 alpha=56.57 beta=56.57 gamma=57.43
Last column: nearest neighbours and their distance in Å.
Atoms (fractional coordinates):
1 Tb 0.1372 0.1372 0.6469  4 Er 3.21-3.50, 2 Tm 3.48
2 Tb 0.8628 0.8628 0.3531  4 Er 3.21-3.50, 2 Tm 3.48
3 Er 0.7255 0.7255 0.7087  3 Tm 3.13-3.38, 1 Tb 3.23, 1 Er 3.39
4 Er 0.7439 0.7439 0.1972  1 Tm 3.05, 1 Er 3.16, 1 Tb 3.33
5 Er 0.0000 0.0000 0.0000  2 Tm 2.78
6 Er 0.0000 0.0000 0.5000  2 Er 3.39, 4 Tm 3.40, 2 Tb 3.50
7 Er 0.2745 0.2745 0.2913  3 Tm 3.13-3.38, 1 Tb 3.23, 1 Er 3.39
8 Er 0.2561 0.2561 0.8028  1 Tm 3.05, 1 Er 3.16, 1 Tb 3.33
9 Tm 0.9333 0.2938 0.1718  3 Tm 3.08-3.25, 1 Er 3.40
10 Tm 0.3206 0.6794 0.0000  1 Er 2.78, 3 Tm 3.08-3.11
11 Tm 0.6544 0.6544 0.0287  2 Er 3.05-3.13, 7 Tm 3.08-3.39
12 Tm 0.4450 0.4450 0.3976  4 Tm 3.39-3.72, 3 Er 3.60-3.73, 1 Tb 3.79
13 Tm 0.5550 0.5550 0.6024  4 Tm 3.39-3.72, 3 Er 3.60-3.73, 1 Tb 3.79
14 Tm 0.3456 0.3456 0.9713  2 Er 3.05-3.13, 7 Tm 3.08-3.39
15 Tm 0.2938 0.9333 0.1718  3 Tm 3.08-3.25, 1 Er 3.40
16 Tm 0.6794 0.3206 0.0000  1 Er 2.78, 3 Tm 3.08-3.11
17 Tm 0.0667 0.7062 0.8282  3 Tm 3.08-3.25, 1 Er 3.40
18 Tm 0.7062 0.0667 0.8282  3 Tm 3.08-3.25, 1 Er 3.40

2) ## TbEr3Tm5 (PBE)

Data for a relaxed TbEr3Tm5 crystal.

Properties
Total magnetic moment = 0.00 μB/f.u.
Symmetry = Imma

Unit cell a=9.0965 b=10.3225 c=7.1189 alpha=110.17 beta=90.00 gamma=116.14
Last column: nearest neighbours and their distance in Å.
Atoms (fractional coordinates):
1 Tb 0.6998 0.0000 0.7500  2 Er 3.26, 7 Tm 3.28-3.58
2 Tb 0.3002 0.0000 0.2500  2 Er 3.26, 7 Tm 3.28-3.58
3 Er 0.0000 0.0000 0.0000  2 Tb 3.26, 2 Er 3.56, 2 Tm 3.57
4 Er 0.8143 0.6257 0.5629  8 Tm 3.42-3.54, 4 Er 3.56-3.66
5 Er 0.0000 0.0000 0.5000  2 Tb 3.26, 2 Er 3.56, 2 Tm 3.57
6 Er 0.1857 0.3743 0.4371  8 Tm 3.42-3.54, 4 Er 3.56-3.66
7 Er 0.8114 0.6257 0.0629  8 Tm 3.42-3.54, 4 Er 3.56-3.66
8 Er 0.1886 0.3743 0.9371  8 Tm 3.42-3.54, 4 Er 3.56-3.66
9 Tm 0.3398 0.0000 0.7500  3 Tb 3.28-3.58, 4 Tm 3.32, 2 Er 3.57
10 Tm 0.5184 0.6747 0.8354  5 Tm 3.24-3.59, 1 Tb 3.30, 4 Er 3.43-3.53
11 Tm 0.8440 0.3254 0.1606  5 Tm 3.24-3.59, 1 Tb 3.30, 4 Er 3.42-3.54
12 Tm 0.4816 0.3253 0.1646  5 Tm 3.24-3.59, 1 Tb 3.30, 4 Er 3.43-3.53
13 Tm 0.5186 0.6746 0.3394  5 Tm 3.24-3.59, 1 Tb 3.30, 4 Er 3.42-3.54
14 Tm 0.6602 0.0000 0.2500  3 Tb 3.28-3.58, 4 Tm 3.32, 2 Er 3.57
15 Tm 0.1563 0.6747 0.3354  5 Tm 3.24-3.59, 1 Tb 3.30, 4 Er 3.43-3.53
16 Tm 0.8437 0.3253 0.6646  5 Tm 3.24-3.59, 1 Tb 3.30, 4 Er 3.43-3.53
17 Tm 0.4814 0.3254 0.6606  5 Tm 3.24-3.59, 1 Tb 3.30, 4 Er 3.42-3.54
18 Tm 0.1560 0.6746 0.8394  5 Tm 3.24-3.59, 1 Tb 3.30, 4 Er 3.42-3.54

Which of them is most stable? Easy: 2).

1) ## Tb7Er4Tm (PBE)

Data for a relaxed Tb7Er4Tm crystal.

Properties
Total magnetic moment = 0.00 μB/f.u.
Symmetry = P-1

Unit cell a=6.7718 b=6.4346 c=11.5631 alpha=74.98 beta=50.87 gamma=82.43
Last column: nearest neighbours and their distance in Å.
Atoms (fractional coordinates):
1 Tb 0.8003 0.5117 0.9502  5 Tb 3.34-3.52, 3 Er 3.37-3.68, 1 Tm 3.44
2 Tb 0.1997 0.4883 0.0498  5 Tb 3.34-3.52, 3 Er 3.37-3.68, 1 Tm 3.44
3 Tb 0.0616 0.3116 0.6428  5 Tb 3.36-3.67, 4 Er 3.43-3.50
4 Tb 0.9384 0.6884 0.3572  5 Tb 3.36-3.67, 4 Er 3.43-3.50
5 Tb 0.2851 0.8053 0.6155  5 Tb 3.24-3.56, 5 Er 3.28-3.60
6 Tb 0.5000 0.0000 0.0000  4 Er 3.39-3.55, 2 Tm 3.39, 4 Tb 3.48-3.67
7 Tb 0.7149 0.1947 0.3845  5 Tb 3.24-3.56, 5 Er 3.28-3.60
8 Er 0.5157 0.6464 0.2855  7 Tb 3.28-3.55, 1 Tm 3.35, 2 Er 3.46-3.49
9 Er 0.4843 0.3536 0.7145  7 Tb 3.28-3.55, 1 Tm 3.35, 2 Er 3.46-3.49
10 Er 0.7073 0.8385 0.6847  7 Tb 3.39-3.68, 2 Er 3.46-3.49
11 Er 0.2927 0.1615 0.3153  7 Tb 3.39-3.68, 2 Er 3.46-3.49
12 Tm 0.0000 0.0000 0.0000  2 Er 3.35, 4 Tb 3.39-3.44

2) ## Tb7Er4Tm (PBE)

Data for a relaxed Tb7Er4Tm crystal.

Properties
Total magnetic moment = 0.47 μB/f.u.
Symmetry = C2/m

Unit cell a=5.8447 b=9.5710 c=8.4599 alpha=61.02 beta=69.79 gamma=72.22
Last column: nearest neighbours and their distance in Å.
Atoms (fractional coordinates):
1 Tb 0.7875 0.8792 0.5457  6 Tb 3.27-3.63, 3 Er 3.60-3.64
2 Tb 0.2125 0.1208 0.4543  6 Tb 3.27-3.63, 3 Er 3.60-3.64
3 Tb 0.0815 0.5590 0.2780  2 Tb 3.22-3.35, 3 Er 3.40-3.50
4 Tb 0.9185 0.4410 0.7220  2 Tb 3.22-3.35, 3 Er 3.40-3.50
5 Tb 0.2091 0.7679 0.8140  1 Tm 3.05, 4 Er 3.16-3.41, 2 Tb 3.27-3.35
6 Tb 0.5000 0.0000 0.0000  2 Tm 2.92
7 Tb 0.7909 0.2321 0.1860  1 Tm 3.05, 4 Er 3.16-3.41, 2 Tb 3.27-3.35
8 Er 0.5728 0.3007 0.5538  4 Tb 3.23-3.60, 2 Er 3.36-3.62
9 Er 0.4272 0.6993 0.4462  4 Tb 3.23-3.60, 2 Er 3.36-3.62
10 Er 0.6728 0.6130 0.0414  7 Tb 3.16-3.50
11 Er 0.3272 0.3870 0.9586  7 Tb 3.16-3.50
12 Tm 0.0000 0.0000 0.0000  4 Tb 2.92-3.05

Which of them is most stable? Easy: 1).